Entry 1:
# PBE-GGA K3Tl4Hg2, relaxed
data_K3Tl4Hg2
_symmetry_space_group_name_H-M 'C 1 2/m 1'
_symmetry_Int_Tables_number 12
_cell_length_a 12.3274
_cell_length_b 5.4198
_cell_length_c 10.2054
_cell_angle_alpha 90.00
_cell_angle_beta 115.33
_cell_angle_gamma 90.00
loop_
_symmetry_equiv_pos_as_xyz
'x,y,z'
'-x,-y,-z'
'-x,y,-z'
'x,-y,z'
'x+1/2,y+1/2,z'
'-x+1/2,-y+1/2,-z'
'-x+1/2,y+1/2,-z'
'x+1/2,-y+1/2,z'
loop_
_atom_site_label
_atom_site_type_symbol
_atom_site_fract_x
_atom_site_fract_y
_atom_site_fract_z
K1 K 0.0000 0.0000 0.0000
K2 K 0.1952 0.5000 0.6376
Tl1 Tl 0.9995 0.0000 0.3491
Tl2 Tl 0.2242 0.5000 0.0634
Hg1 Hg 0.0604 0.5000 0.2431
# calculated volume	34.2	Å³/atom
# E_form	-0.15	eV/atom
# calculated density	7.20	Mg/m³
# DFT total energy	-14.74	eV/f.u.
# density of states at the Fermi level	10.8	states/eV per cell
# crystal system	monoclinic


Entry 2:
# PBE-GGA LaPrHoSn, relaxed
data_LaPrHoSn
_symmetry_space_group_name_H-M 'F -4 3 m'
_symmetry_Int_Tables_number 216
_symmetry_space_group_name_Hall 'F -4 2 3'
_cell_length_a 7.9029
_cell_length_b 7.9029
_cell_length_c 7.9029
_cell_angle_alpha 90.00
_cell_angle_beta 90.00
_cell_angle_gamma 90.00
loop_
_atom_site_label
_atom_site_type_symbol
_atom_site_fract_x
_atom_site_fract_y
_atom_site_fract_z
La1 La 0.0000 0.0000 0.0000
Pr1 Pr 0.0000 0.0000 0.5000
Ho1 Ho 0.2500 0.2500 0.7500
Sn1 Sn 0.2500 0.2500 0.2500
# calculated volume	30.8	Å³/atom
# E_form	-0.27	eV/atom
# calculated density	7.58	Mg/m³
# DFT total energy	-19.36	eV/f.u.
# density of states at the Fermi level	25.2	states/eV per cell
# crystal system	cubic


Entry 3:
# PBE-GGA CaSn3, relaxed
data_CaSn3
_symmetry_space_group_name_H-M 'I 4/m m m'
_symmetry_Int_Tables_number 139
_symmetry_space_group_name_Hall '-I 4 2'
_cell_length_a 4.6783
_cell_length_b 4.6783
_cell_length_c 9.9396
_cell_angle_alpha 90.00
_cell_angle_beta 90.00
_cell_angle_gamma 90.00
loop_
_atom_site_label
_atom_site_type_symbol
_atom_site_fract_x
_atom_site_fract_y
_atom_site_fract_z
Ca1 Ca 0.0000 0.0000 0.0000
Sn1 Sn 0.0000 0.0000 0.5000
Sn2 Sn 0.0000 0.5000 0.2500
# calculated volume	27.2	Å³/atom
# E_form	-0.34	eV/atom
# calculated density	6.05	Mg/m³
# DFT total energy	-15.37	eV/f.u.
# density of states at the Fermi level	3.9	states/eV per cell
# crystal system	tetragonal


Entry 4:
# PBE-GGA DyInCo, relaxed
data_DyInCo
_symmetry_space_group_name_H-M 'P m m a'
_symmetry_Int_Tables_number 51
_cell_length_a 12.4038
_cell_length_b 3.9410
_cell_length_c 7.4568
_cell_angle_alpha 90.00
_cell_angle_beta 90.00
_cell_angle_gamma 90.00
loop_
_symmetry_equiv_pos_as_xyz
'x,y,z'
'-x,-y,-z'
'-x+1/2,-y,z'
'x+1/2,y,-z'
'x+1/2,-y,-z'
'-x+1/2,y,z'
'-x,y,-z'
'x,-y,z'
loop_
_atom_site_label
_atom_site_type_symbol
_atom_site_fract_x
_atom_site_fract_y
_atom_site_fract_z
Dy1 Dy 0.0448 0.0000 0.2308
Dy2 Dy 0.2500 0.0000 0.8571
In1 In 0.1227 0.5000 0.5755
In2 In 0.2500 0.5000 0.1945
Co1 Co 0.0857 0.5000 0.9484
Co2 Co 0.2500 0.0000 0.4445
# calculated volume	20.3	Å³/atom
# E_form	-0.33	eV/atom
# calculated density	9.19	Mg/m³
# DFT total energy	-15.43	eV/f.u.
# density of states at the Fermi level	11.5	states/eV per cell
# crystal system	orthorhombic


Entry 5:
# PBE-GGA MgSc3Se4, relaxed
data_MgSc3Se4
_symmetry_space_group_name_H-M 'P m n 21'
_symmetry_Int_Tables_number 31
_cell_length_a 8.8954
_cell_length_b 7.9724
_cell_length_c 5.4253
_cell_angle_alpha 90.00
_cell_angle_beta 90.00
_cell_angle_gamma 90.00
loop_
_symmetry_equiv_pos_as_xyz
'x,y,z'
'-x+1/2,-y,z+1/2'
'-x,y,z'
'x+1/2,-y,z+1/2'
loop_
_atom_site_label
_atom_site_type_symbol
_atom_site_fract_x
_atom_site_fract_y
_atom_site_fract_z
Mg1 Mg 0.0000 0.0957 0.0000
Sc1 Sc 0.0000 0.7456 0.4982
Sc2 Sc 0.2116 0.3521 0.4982
Se1 Se 0.0000 0.0952 0.4991
Se2 Se 0.0000 0.7676 0.9983
Se3 Se 0.2072 0.3263 0.9982
# calculated volume	24.0	Å³/atom
# calculated density	4.10	Mg/m³
# DFT total energy	-45.33	eV/f.u.
# density of states at the Fermi level	8.9	states/eV per cell
# raw formation energy	-1351	meV per atom
# crystal system	orthorhombic


Entry 6:
# PBE-GGA PrEr14Th, relaxed
data_PrEr14Th
_symmetry_space_group_name_H-M 'A m m 2'
_symmetry_Int_Tables_number 38
_cell_length_a 11.4146
_cell_length_b 7.1049
_cell_length_c 12.2420
_cell_angle_alpha 90.00
_cell_angle_beta 90.00
_cell_angle_gamma 90.00
loop_
_symmetry_equiv_pos_as_xyz
'x,y,z'
'-x,-y,z'
'-x,y,z'
'x,-y,z'
'x,y+1/2,z+1/2'
'-x,-y+1/2,z+1/2'
'-x,y+1/2,z+1/2'
'x,-y+1/2,z+1/2'
loop_
_atom_site_label
_atom_site_type_symbol
_atom_site_fract_x
_atom_site_fract_y
_atom_site_fract_z
Pr1 Pr 0.0000 0.0000 0.0000
Er1 Er 0.0000 0.2503 0.2495
Er2 Er 0.2505 0.0000 0.6643
Er3 Er 0.2533 0.2475 0.4166
Er4 Er 0.2536 0.0000 0.1670
Er5 Er 0.5000 0.0000 0.3325
Er6 Er 0.5000 0.0000 0.8323
Er7 Er 0.5000 0.2494 0.0831
Th1 Th 0.0000 0.0000 0.4979
# calculated volume	31.0	Å³/atom
# E_form	0.02	eV/atom
# calculated density	9.08	Mg/m³
# DFT total energy	-75.78	eV/f.u.
# density of states at the Fermi level	41.9	states/eV per cell
# crystal system	orthorhombic


Entry 7:
# PBE-GGA PmTm4Zn4, relaxed
data_PmTm4Zn4
_symmetry_space_group_name_H-M 'I 4/m'
_symmetry_Int_Tables_number 87
_symmetry_space_group_name_Hall '-I 4'
_cell_length_a 9.4063
_cell_length_b 9.4063
_cell_length_c 5.0499
_cell_angle_alpha 90.00
_cell_angle_beta 90.00
_cell_angle_gamma 90.00
loop_
_atom_site_label
_atom_site_type_symbol
_atom_site_fract_x
_atom_site_fract_y
_atom_site_fract_z
Pm1 Pm 0.0000 0.0000 0.0000
Tm1 Tm 0.1063 0.3507 0.0000
Zn1 Zn 0.0806 0.1845 0.5000
# calculated volume	24.8	Å³/atom
# E_form	-0.14	eV/atom
# calculated density	8.05	Mg/m³
# DFT total energy	-28.96	eV/f.u.
# density of states at the Fermi level	15.8	states/eV per cell
# crystal system	tetragonal


Entry 8:
# PBE-GGA Ho2TcO6, relaxed
data_Ho2TcO6
_symmetry_space_group_name_H-M 'P 42/m n m'
_symmetry_Int_Tables_number 136
_symmetry_space_group_name_Hall '-P 4n 2n'
_cell_length_a 4.9731
_cell_length_b 4.9731
_cell_length_c 9.9420
_cell_angle_alpha 90.00
_cell_angle_beta 90.00
_cell_angle_gamma 90.00
loop_
_atom_site_label
_atom_site_type_symbol
_atom_site_fract_x
_atom_site_fract_y
_atom_site_fract_z
Ho1 Ho 0.0000 0.0000 0.1717
Tc1 Tc 0.0000 0.0000 0.5000
O1 O 0.1874 0.1874 0.3526
O2 O 0.2302 0.2302 0.0000
# calculated volume	13.7	Å³/atom
# calculated density	7.08	Mg/m³
# DFT total energy	-72.06	eV/f.u.
# density of states at the Fermi level	5.4	states/eV per cell
# raw formation energy	-2532	meV per atom
# crystal system	tetragonal


Entry 9:
# PBE-GGA YSc2TlN, relaxed
data_YSc2TlN
_symmetry_space_group_name_H-M 'P 4/m m m'
_symmetry_Int_Tables_number 123
_symmetry_space_group_name_Hall '-P 4 2'
_cell_length_a 4.5243
_cell_length_b 4.5243
_cell_length_c 4.7781
_cell_angle_alpha 90.00
_cell_angle_beta 90.00
_cell_angle_gamma 90.00
loop_
_atom_site_label
_atom_site_type_symbol
_atom_site_fract_x
_atom_site_fract_y
_atom_site_fract_z
Y1 Y 0.0000 0.0000 0.0000
Sc1 Sc 0.0000 0.5000 0.5000
Tl1 Tl 0.5000 0.5000 0.0000
N1 N 0.0000 0.0000 0.5000
# calculated volume	19.6	Å³/atom
# calculated density	6.74	Mg/m³
# DFT total energy	-34.82	eV/f.u.
# density of states at the Fermi level	2.9	states/eV per cell
# raw formation energy	-1000	meV per atom
# crystal system	tetragonal


Entry 10:
# PBE-GGA PrSmScTe3, relaxed
data_PrSmScTe3
_symmetry_space_group_name_H-M 'P 1 21/m 1'
_symmetry_Int_Tables_number 11
_cell_length_a 9.0108
_cell_length_b 4.3423
_cell_length_c 9.9438
_cell_angle_alpha 90.00
_cell_angle_beta 104.53
_cell_angle_gamma 90.00
loop_
_symmetry_equiv_pos_as_xyz
'x,y,z'
'-x,-y,-z'
'-x,y+1/2,-z'
'x,-y+1/2,z'
loop_
_atom_site_label
_atom_site_type_symbol
_atom_site_fract_x
_atom_site_fract_y
_atom_site_fract_z
Pr1 Pr 0.1742 0.2500 0.2337
Sm1 Sm 0.3388 0.7500 0.8420
Sc1 Sc 0.0898 0.2500 0.5950
Te1 Te 0.0973 0.2500 0.8858
Te2 Te 0.2521 0.7500 0.4989
Te3 Te 0.4175 0.7500 0.1721
# calculated volume	31.4	Å³/atom
# calculated density	6.34	Mg/m³
# DFT total energy	-32.67	eV/f.u.
# density of states at the Fermi level	7.6	states/eV per cell
# raw formation energy	-1235	meV per atom
# crystal system	monoclinic


Entry 11:
# PBE-GGA CrSb2Pb, relaxed
data_CrSb2Pb
_symmetry_space_group_name_H-M 'I m m 2'
_symmetry_Int_Tables_number 44
_cell_length_a 3.2584
_cell_length_b 4.1833
_cell_length_c 15.9386
_cell_angle_alpha 90.00
_cell_angle_beta 90.00
_cell_angle_gamma 90.00
loop_
_symmetry_equiv_pos_as_xyz
'x,y,z'
'-x,-y,z'
'-x,y,z'
'x,-y,z'
'x+1/2,y+1/2,z+1/2'
'-x+1/2,-y+1/2,z+1/2'
'-x+1/2,y+1/2,z+1/2'
'x+1/2,-y+1/2,z+1/2'
loop_
_atom_site_label
_atom_site_type_symbol
_atom_site_fract_x
_atom_site_fract_y
_atom_site_fract_z
Cr1 Cr 0.0000 0.0000 0.0000
Sb1 Sb 0.0000 0.0000 0.5622
Sb2 Sb 0.0000 0.5000 0.3577
Pb1 Pb 0.0000 0.5000 0.7287
# calculated volume	27.2	Å³/atom
# calculated density	7.68	Mg/m³
# DFT total energy	-20.71	eV/f.u.
# density of states at the Fermi level	4.8	states/eV per cell
# raw formation energy	215	meV per atom
# crystal system	orthorhombic


Entry 12:
# PBE-GGA CaGa2F, relaxed
data_CaGa2F
_symmetry_space_group_name_H-M 'I -4 2 d'
_symmetry_Int_Tables_number 122
_symmetry_space_group_name_Hall 'I -4 2bw'
_cell_length_a 3.5954
_cell_length_b 3.5954
_cell_length_c 24.9527
_cell_angle_alpha 90.00
_cell_angle_beta 90.00
_cell_angle_gamma 90.00
loop_
_atom_site_label
_atom_site_type_symbol
_atom_site_fract_x
_atom_site_fract_y
_atom_site_fract_z
Ca1 Ca 0.0000 0.0000 0.0000
Ga1 Ga 0.2457 0.2500 0.1250
F1 F 0.0000 0.0000 0.5000
# calculated volume	20.2	Å³/atom
# calculated density	4.09	Mg/m³
# DFT total energy	-15.12	eV/f.u.
# density of states at the Fermi level	3.3	states/eV per cell
# raw formation energy	-1298	meV per atom
# crystal system	tetragonal


Entry 13:
# PBE-GGA CaMnAu4, relaxed
data_CaMnAu4
_symmetry_space_group_name_H-M 'F -4 3 m'
_symmetry_Int_Tables_number 216
_symmetry_space_group_name_Hall 'F -4 2 3'
_cell_length_a 7.8744
_cell_length_b 7.8744
_cell_length_c 7.8744
_cell_angle_alpha 90.00
_cell_angle_beta 90.00
_cell_angle_gamma 90.00
loop_
_atom_site_label
_atom_site_type_symbol
_atom_site_fract_x
_atom_site_fract_y
_atom_site_fract_z
Ca1 Ca 0.0000 0.0000 0.0000
Mn1 Mn 0.2500 0.2500 0.7500
Au1 Au 0.1247 0.1247 0.3753
# calculated volume	20.3	Å³/atom
# E_form	-0.21	eV/atom
# calculated density	12.01	Mg/m³
# DFT total energy	-25.53	eV/f.u.
# density of states at the Fermi level	21.4	states/eV per cell
# crystal system	cubic


Entry 14:
# PBE-GGA Sc2Ga2Rh3, relaxed
data_Sc2Ga2Rh3
_symmetry_space_group_name_H-M 'P -1'
_symmetry_Int_Tables_number 2
_cell_length_a 4.5120
_cell_length_b 4.5175
_cell_length_c 6.8777
_cell_angle_alpha 81.13
_cell_angle_beta 70.89
_cell_angle_gamma 60.16
loop_
_symmetry_equiv_pos_as_xyz
'x,y,z'
'-x,-y,-z'
loop_
_atom_site_label
_atom_site_type_symbol
_atom_site_fract_x
_atom_site_fract_y
_atom_site_fract_z
Sc1 Sc 0.0866 0.1661 0.1606
Ga1 Ga 0.3076 0.4975 0.3871
Rh1 Rh 0.3058 0.1650 0.7227
Rh2 Rh 0.5000 0.5000 0.0000
# calculated volume	16.4	Å³/atom
# E_form	-0.86	eV/atom
# calculated density	7.78	Mg/m³
# DFT total energy	-46.76	eV/f.u.
# density of states at the Fermi level	4.4	states/eV per cell
# crystal system	triclinic


Entry 15:
# PBE-GGA MgWBr, relaxed
data_MgWBr
_symmetry_space_group_name_H-M 'P -6 m 2'
_symmetry_Int_Tables_number 187
_symmetry_space_group_name_Hall 'P -6 2'
_cell_length_a 4.6813
_cell_length_b 4.6813
_cell_length_c 2.9548
_cell_angle_alpha 90.00
_cell_angle_beta 90.00
_cell_angle_gamma 120.00
loop_
_atom_site_label
_atom_site_type_symbol
_atom_site_fract_x
_atom_site_fract_y
_atom_site_fract_z
Mg1 Mg 0.0000 0.0000 0.0000
W1 W 0.6667 0.3333 0.5000
Br1 Br 0.3333 0.6667 0.5000
# calculated volume	18.7	Å³/atom
# calculated density	8.53	Mg/m³
# DFT total energy	-13.75	eV/f.u.
# density of states at the Fermi level	2.1	states/eV per cell
# raw formation energy	823	meV per atom
# crystal system	hexagonal


Entry 16:
# PBE-GGA K4MgP, relaxed
data_K4MgP
_symmetry_space_group_name_H-M 'F -4 3 m'
_symmetry_Int_Tables_number 216
_symmetry_space_group_name_Hall 'F -4 2 3'
_cell_length_a 9.8832
_cell_length_b 9.8832
_cell_length_c 9.8832
_cell_angle_alpha 90.00
_cell_angle_beta 90.00
_cell_angle_gamma 90.00
loop_
_atom_site_label
_atom_site_type_symbol
_atom_site_fract_x
_atom_site_fract_y
_atom_site_fract_z
K1 K 0.1232 0.1232 0.3768
Mg1 Mg 0.0000 0.0000 0.0000
P1 P 0.2500 0.2500 0.7500
# calculated volume	40.2	Å³/atom
# E_form	0.46	eV/atom
# calculated density	1.46	Mg/m³
# DFT total energy	-8.62	eV/f.u.
# density of states at the Fermi level	11.2	states/eV per cell
# crystal system	cubic


Entry 17:
# PBE-GGA CaPtS, relaxed
data_CaPtS
_symmetry_space_group_name_H-M 'C 1 2/m 1'
_symmetry_Int_Tables_number 12
_cell_length_a 9.9083
_cell_length_b 3.7894
_cell_length_c 8.3395
_cell_angle_alpha 90.00
_cell_angle_beta 123.46
_cell_angle_gamma 90.00
loop_
_symmetry_equiv_pos_as_xyz
'x,y,z'
'-x,-y,-z'
'-x,y,-z'
'x,-y,z'
'x+1/2,y+1/2,z'
'-x+1/2,-y+1/2,-z'
'-x+1/2,y+1/2,-z'
'x+1/2,-y+1/2,z'
loop_
_atom_site_label
_atom_site_type_symbol
_atom_site_fract_x
_atom_site_fract_y
_atom_site_fract_z
Ca1 Ca 0.0402 0.0000 0.2841
Pt1 Pt 0.2464 0.5000 0.8860
S1 S 0.2398 0.0000 0.6937
# calculated volume	21.8	Å³/atom
# calculated density	6.80	Mg/m³
# DFT total energy	-15.86	eV/f.u.
# density of states at the Fermi level	0.0	states/eV per cell
# raw formation energy	-1230	meV per atom
# crystal system	monoclinic


Entry 18:
# PBE-GGA Li3SnPd3, relaxed
data_Li3SnPd3
_symmetry_space_group_name_H-M 'C m m m'
_symmetry_Int_Tables_number 65
_symmetry_space_group_name_Hall '-C 2 2'
_cell_length_a 8.7417
_cell_length_b 8.9156
_cell_length_c 5.8851
_cell_angle_alpha 90.00
_cell_angle_beta 90.00
_cell_angle_gamma 90.00
loop_
_atom_site_label
_atom_site_type_symbol
_atom_site_fract_x
_atom_site_fract_y
_atom_site_fract_z
Li1 Li 0.0000 0.2455 0.0000
Li2 Li 0.0000 0.2466 0.5000
Li3 Li 0.2333 0.0000 0.5000
Sn1 Sn 0.2411 0.0000 0.0000
Pd1 Pd 0.0000 0.5000 0.2610
Pd2 Pd 0.2500 0.2500 0.2585
# calculated volume	16.4	Å³/atom
# E_form	-0.49	eV/atom
# calculated density	6.64	Mg/m³
# DFT total energy	-28.79	eV/f.u.
# density of states at the Fermi level	11.4	states/eV per cell
# crystal system	orthorhombic


Entry 19:
# PBE-GGA Rb2ZrI, relaxed
data_Rb2ZrI
_symmetry_space_group_name_H-M 'F m -3 m'
_symmetry_Int_Tables_number 225
_symmetry_space_group_name_Hall '-F 4 2 3'
_cell_length_a 9.3397
_cell_length_b 9.3397
_cell_length_c 9.3397
_cell_angle_alpha 90.00
_cell_angle_beta 90.00
_cell_angle_gamma 90.00
loop_
_atom_site_label
_atom_site_type_symbol
_atom_site_fract_x
_atom_site_fract_y
_atom_site_fract_z
Rb1 Rb 0.2500 0.2500 0.2500
Zr1 Zr 0.0000 0.0000 0.0000
I1 I 0.0000 0.0000 0.5000
# calculated volume	50.9	Å³/atom
# calculated density	3.17	Mg/m³
# DFT total energy	-10.04	eV/f.u.
# density of states at the Fermi level	0.0	states/eV per cell
# raw formation energy	499	meV per atom
# crystal system	cubic


Entry 20:
# PBE-GGA ScCoH2, relaxed
data_ScCoH2
_symmetry_space_group_name_H-M 'I -4 2 d'
_symmetry_Int_Tables_number 122
_symmetry_space_group_name_Hall 'I -4 2bw'
_cell_length_a 4.1079
_cell_length_b 4.1079
_cell_length_c 8.6727
_cell_angle_alpha 90.00
_cell_angle_beta 90.00
_cell_angle_gamma 90.00
loop_
_atom_site_label
_atom_site_type_symbol
_atom_site_fract_x
_atom_site_fract_y
_atom_site_fract_z
Sc1 Sc 0.0000 0.0000 0.0000
Co1 Co 0.0000 0.0000 0.5000
H1 H 0.1644 0.2500 0.6250
# calculated volume	9.1	Å³/atom
# calculated density	4.81	Mg/m³
# DFT total energy	-21.43	eV/f.u.
# density of states at the Fermi level	0.1	states/eV per cell
# crystal system	tetragonal